(1)
DFT (PBE) results for an optimized crystal structure of TaTcRh2.

a b c (Å): 2.785 2.785 7.878
angles (deg): 90.00 90.00 90.00
Fractional coordinates of all 4 atoms:
Ta 0.000 0.000 0.000
Tc 0.500 0.500 0.273
Rh 0.000 0.000 0.499
Rh 0.500 0.500 0.755

Output
formation enthalpy at 0 K = -0.17 eV/atom
magnetic moment = 0.000 μB per cell
energy = -37.62 eV per cell
symmetry = P4mm

(2)
DFT (PBE) results for an optimized crystal structure of P2PtPbCl.

a b c (Å): 4.485 4.485 9.410
angles (deg): 90.00 90.00 90.00
Fractional coordinates of all 5 atoms:
P 0.000 0.500 0.000
P 0.500 0.000 0.000
Pt 0.000 0.000 0.000
Pb 0.500 0.500 0.500
Cl 0.000 0.000 0.500

Output
E_form (uncorrected) = 35.56 kJ per mole of atoms
magnetic moment = 0.858 μB per cell
energy = -20.57 eV per cell
symmetry = P4/mmm

(3)
DFT (PBE) results for an optimized crystal structure of AlAg2Mo.

a b c (Å): 9.582 9.582 9.582
angles (deg): 17.03 17.03 17.03
Fractional coordinates of all 4 atoms:
Al 0.000 0.000 0.000
Ag 0.253 0.253 0.253
Ag 0.747 0.747 0.747
Mo 0.500 0.500 0.500

Output
formation enthalpy at 0 K = 0.29 eV/atom
magnetic moment = 0.000 μB per cell
energy = -19.10 eV per cell
symmetry = R-3m

(4)
DFT (PBE) results for an optimized crystal structure of TlCu5Pd8.

a b c (Å): 6.574 6.574 6.574
angles (deg): 110.30 110.30 107.83
Fractional coordinates of all 14 atoms:
Tl 0.000 0.000 0.000
Cu 0.209 0.621 0.160
Cu 0.379 0.539 0.588
Cu 0.461 0.049 0.840
Cu 0.750 0.250 0.500
Cu 0.951 0.791 0.412
Pd 0.109 0.673 0.759
Pd 0.173 0.272 0.762
Pd 0.327 0.086 0.436
Pd 0.510 0.411 0.238
Pd 0.589 0.827 0.099
Pd 0.650 0.891 0.564
Pd 0.728 0.490 0.901
Pd 0.914 0.350 0.241

Output
formation enthalpy at 0 K = 0.02 eV/atom
magnetic moment = 0.000 μB per cell
energy = -64.07 eV per cell
symmetry = I-4

(5)
DFT (PBE) results for an optimized crystal structure of BaTl2Cu.

a b c (Å): 6.103 6.103 6.103
angles (deg): 140.91 119.82 74.14
Fractional coordinates of all 4 atoms:
Ba 0.000 0.000 0.000
Tl 0.303 0.803 0.500
Tl 0.697 0.197 0.500
Cu 0.500 0.500 0.000

Output
formation enthalpy at 0 K = -0.07 eV/atom
magnetic moment = 0.000 μB per cell
energy = -11.04 eV per cell
symmetry = Immm

(6)
DFT (PBE) results for an optimized crystal structure of Pm4GeSbSe2.

a b c (Å): 7.428 4.308 7.491
angles (deg): 90.00 109.47 90.00
Fractional coordinates of all 8 atoms:
Pm 0.244 0.000 0.239
Pm 0.250 0.500 0.761
Pm 0.750 0.500 0.239
Pm 0.756 0.000 0.761
Ge 0.000 0.500 0.000
Sb 0.000 0.000 0.500
Se 0.500 0.000 0.000
Se 0.500 0.500 0.500

Output
E_form (uncorrected) = -142.08 kJ per mole of atoms
magnetic moment = 0.000 μB per cell
energy = -46.49 eV per cell
symmetry = P2/m

Q: Which value of magnetic moment does entry 6 give?
A: 0.000 μB per cell

Q: Which value of magnetic moment does entry 5 give?
A: 0.000 μB per cell

Q: What is the magnetic moment in the first record?
A: 0.000 μB per cell